Record 1
First-principles (PBE) data for an optimized crystal structure of Th2CoBr2, as listed in Alexandria.

Unit cell a=3.9469 b=4.0786 c=11.6906 alpha=82.27 beta=80.31 gamma=61.10
Last column: nearest neighbours and their distance in Å.
Sites, in units of the cell vectors:
Th 0.7114 0.2090 0.3697  3 Co 2.72-2.86
Th 0.2886 0.7910 0.6303  3 Co 2.72-2.86
Co 0.0000 0.5000 0.5000  6 Th 2.72-2.86
Br 0.4536 0.9065 0.1858  3 Th 3.13-3.17
Br 0.5464 0.0935 0.8142  3 Th 3.13-3.17

Output
Density of states at the Fermi level, states/eV/f.u.: 2.68
E_form (uncorrected), eV per formula unit: -5.326
Total DFT energy (no corrections), eV/atom: -6.124
Calculated density, g/cm³: 6.99

---

Record 2
First-principles (PBE) data for an optimized crystal structure of Na23Tl6, as listed in Alexandria.

Unit cell a=11.3631 b=11.3632 c=11.3632 alpha=60.00 beta=60.00 gamma=60.00
Last column: nearest neighbours and their distance in Å.
Sites, in units of the cell vectors:
Na 0.0000 0.0000 0.0000  12 Na 3.92, 6 Tl 4.28
Na 0.7500 0.7500 0.7500  4 Na 3.68
Na 0.2500 0.2500 0.2500  4 Na 3.68
Na 0.6176 0.6176 0.1472  3 Tl 3.26
Na 0.6176 0.6176 0.6176  3 Tl 3.26
Na 0.6176 0.1472 0.6176  3 Tl 3.26
Na 0.1472 0.6176 0.6176  3 Tl 3.26
Na 0.3824 0.3824 0.8528  3 Tl 3.26
Na 0.3824 0.3824 0.3824  3 Tl 3.26
Na 0.3824 0.8528 0.3824  3 Tl 3.26
Na 0.8528 0.3824 0.3824  3 Tl 3.26
Na 0.6550 0.0000 0.3450  2 Tl 3.16, 1 Na 3.52
Na 0.0000 0.6550 0.3450  2 Tl 3.16, 1 Na 3.52
Na 0.0000 0.0000 0.3450  2 Tl 3.16, 1 Na 3.52
Na 0.0000 0.6550 0.0000  2 Tl 3.16, 1 Na 3.52
Na 0.6550 0.0000 0.0000  2 Tl 3.16, 1 Na 3.52
Na 0.0000 0.0000 0.6550  2 Tl 3.16, 1 Na 3.52
Na 0.0000 0.3450 0.0000  2 Tl 3.16, 1 Na 3.52
Na 0.0000 0.3450 0.6550  2 Tl 3.16, 1 Na 3.52
Na 0.6550 0.3450 0.0000  2 Tl 3.16, 1 Na 3.52
Na 0.3450 0.0000 0.6550  2 Tl 3.16, 1 Na 3.52
Na 0.3450 0.0000 0.0000  2 Tl 3.16, 1 Na 3.52
Na 0.3450 0.6550 0.0000  2 Tl 3.16, 1 Na 3.52
Tl 0.7335 0.2665 0.7335  8 Na 3.16-3.26
Tl 0.2665 0.7335 0.7335  8 Na 3.16-3.26
Tl 0.2665 0.2665 0.7335  8 Na 3.16-3.26
Tl 0.2665 0.7335 0.2665  8 Na 3.16-3.26
Tl 0.7335 0.2665 0.2665  8 Na 3.16-3.26
Tl 0.7335 0.7335 0.2665  8 Na 3.16-3.26

Output
Density of states at the Fermi level, states/eV/f.u.: 18.98
Total DFT energy (no corrections), eV/atom: -1.549
Calculated density, g/cm³: 2.81